Material: CdIr2Rh
Method: DFT, GGA-PBE
State: relaxed

The structure in POSCAR format:
```
CdIr2Rh
1.0
5.5043 0.0000 0.0000
0.0000 8.1467 0.0000
0.0000 0.0000 2.7770
Cd Ir Rh
2 4 2
Direct
0.0000 0.0000 0.0000
0.5000 0.5000 0.0000
0.2500 0.2500 0.5000
0.2500 0.7500 0.5000
0.7500 0.2500 0.5000
0.7500 0.7500 0.5000
0.0000 0.5000 0.0000
0.5000 0.0000 0.0000
```

* calculated formation energy: 4.8 kcal/mol of atoms
* calculated density: 16.00 g/cm³

=====

Material: Cd3IrRh
Method: DFT, GGA-PBE
State: relaxed

The structure in POSCAR format:
```
Cd3IrRh
1.0
5.0855 0.0000 0.0000
0.0000 5.0855 0.0000
0.0000 0.0000 5.0855
Cd Ir Rh
3 1 1
Direct
0.0000 0.0000 0.5000
0.0000 0.5000 0.0000
0.5000 0.0000 0.0000
0.0000 0.0000 0.0000
0.5000 0.5000 0.5000
```

* calculated formation energy: 21.2 kcal/mol of atoms
* calculated density: 7.98 g/cm³
* relative energy among the computed polymorphs: 0 meV/atom

=====

Material: CdIr2Rh
Method: DFT, GGA-PBE
State: relaxed

The structure in POSCAR format:
```
CdIr2Rh
1.0
9.2112 0.0000 0.0000
0.0000 2.8013 0.0000
-0.8475 0.0000 4.8539
Cd Ir Rh
2 4 2
Direct
0.0000 0.0000 0.0000
0.5000 0.5000 0.0000
0.2405 0.0000 0.7025
0.4994 0.0000 0.5036
0.7405 0.5000 0.7025
0.9994 0.5000 0.5036
0.2570 0.5000 0.2445
0.7570 0.0000 0.2445
```

* calculated formation energy: 2.9 kcal/mol of atoms
* calculated density: 15.90 g/cm³

=====

Material: CdIr2Rh
Method: DFT, GGA-PBE
State: relaxed

The structure in POSCAR format:
```
CdIr2Rh
1.0
6.3324 0.0000 0.0000
0.0000 6.3324 0.0000
0.0000 0.0000 6.3324
Cd Ir Rh
4 8 4
Direct
0.0000 0.0000 0.0000
0.0000 0.5000 0.5000
0.5000 0.0000 0.5000
0.5000 0.5000 0.0000
0.0000 0.0000 0.5000
0.0000 0.5000 0.0000
0.2500 0.2500 0.7500
0.2500 0.7500 0.2500
0.5000 0.0000 0.0000
0.5000 0.5000 0.5000
0.7500 0.2500 0.2500
0.7500 0.7500 0.7500
0.2500 0.2500 0.2500
0.2500 0.7500 0.7500
0.7500 0.2500 0.7500
0.7500 0.7500 0.2500
```

* calculated formation energy: 9.3 kcal/mol of atoms
* calculated density: 15.69 g/cm³

=====

Material: CdIr2Rh
Method: DFT, GGA-PBE
State: relaxed

The structure in POSCAR format:
```
CdIr2Rh
1.0
2.7970 0.0000 0.0000
0.0000 2.7970 0.0000
0.0000 0.0000 8.0149
Cd Ir Rh
1 2 1
Direct
0.0000 0.0000 0.0000
0.5000 0.5000 0.2721
0.5000 0.5000 0.7279
0.0000 0.0000 0.5000
```

* calculated formation energy: 3.1 kcal/mol of atoms
* calculated density: 15.88 g/cm³

=====

Material: CdIr2Rh
Method: DFT, GGA-PBE
State: relaxed

The structure in POSCAR format:
```
CdIr2Rh
1.0
2.7831 0.0000 0.0000
0.0000 3.9146 0.0000
0.0000 0.0000 5.7749
Cd Ir Rh
1 2 1
Direct
0.0000 0.0000 0.0000
0.5000 0.5000 0.2718
0.5000 0.5000 0.7282
0.0000 0.0000 0.5000
```

* calculated formation energy: 4.9 kcal/mol of atoms
* calculated density: 15.83 g/cm³